# GGA-PBE Ta3VBr, optimized geometry
data_Ta3VBr
_symmetry_space_group_name_H-M 'P m -3 m'
_symmetry_Int_Tables_number 221
_symmetry_space_group_name_Hall '-P 4 2 3'
_cell_length_a 4.701
_cell_length_b 4.701
_cell_length_c 4.701
_cell_angle_alpha 90.00
_cell_angle_beta 90.00
_cell_angle_gamma 90.00
loop_
_atom_site_label
_atom_site_fract_x
_atom_site_fract_y
_atom_site_fract_z
_atom_site_occupancy
Ta1 0.000 0.000 0.500 1
V1 0.500 0.500 0.500 1
Br1 0.000 0.000 0.000 1
# Formation energy from raw total energies = 1.580 eV/atom
# Distance to the lowest polymorph of the same formula = 176 meV/atom



# GGA-PBE Eu2YAg, optimized geometry
data_Eu2YAg
_symmetry_space_group_name_H-M 'P 4/m m m'
_symmetry_Int_Tables_number 123
_symmetry_space_group_name_Hall '-P 4 2'
_cell_length_a 3.767
_cell_length_b 3.767
_cell_length_c 9.144
_cell_angle_alpha 90.00
_cell_angle_beta 90.00
_cell_angle_gamma 90.00
loop_
_atom_site_label
_atom_site_fract_x
_atom_site_fract_y
_atom_site_fract_z
_atom_site_occupancy
Eu1 0.000 0.000 0.208 1
Y1 0.500 0.500 0.500 1
Ag1 0.500 0.500 0.000 1
# Formation energy = -72 meV/atom



# GGA-PBE Pr2IrI, optimized geometry
data_Pr2IrI
_symmetry_space_group_name_H-M 'R 3 m'
_symmetry_Int_Tables_number 160
_symmetry_space_group_name_Hall 'R 3 -2"'
_cell_length_a 4.2452
_cell_length_b 4.2452
_cell_length_c 24.6826
_cell_angle_alpha 90.00
_cell_angle_beta 90.00
_cell_angle_gamma 120.00
loop_
_atom_site_label
_atom_site_fract_x
_atom_site_fract_y
_atom_site_fract_z
_atom_site_occupancy
Pr1 0.0000 0.0000 0.0000 1
Pr2 0.0000 0.0000 0.2112 1
Ir1 0.0000 0.0000 0.6056 1
I1 0.0000 0.0000 0.4373 1
# Formation energy from raw total energies = -0.938 eV/atom
# Distance to the lowest polymorph of the same formula = 17 meV/atom



# GGA-PBE Sr2MgTl9, optimized geometry
data_Sr2MgTl9
_symmetry_space_group_name_H-M 'P 4/m m m'
_symmetry_Int_Tables_number 123
_symmetry_space_group_name_Hall '-P 4 2'
_cell_length_a 4.964
_cell_length_b 4.964
_cell_length_c 14.587
_cell_angle_alpha 90.00
_cell_angle_beta 90.00
_cell_angle_gamma 90.00
loop_
_atom_site_label
_atom_site_fract_x
_atom_site_fract_y
_atom_site_fract_z
_atom_site_occupancy
Sr1 0.000 0.000 0.176 1
Mg1 0.000 0.000 0.500 1
Tl1 0.000 0.500 0.000 1
Tl2 0.000 0.500 0.348 1
Tl3 0.500 0.500 0.159 1
Tl4 0.500 0.500 0.500 1
# Formation energy = -164 meV/atom



# GGA-PBE Ce8PuOs2, optimized geometry
data_Ce8PuOs2
_symmetry_space_group_name_H-M 'C 1 2/m 1'
_symmetry_Int_Tables_number 12
_cell_length_a 12.524
_cell_length_b 8.000
_cell_length_c 5.871
_cell_angle_alpha 90.00
_cell_angle_beta 107.93
_cell_angle_gamma 90.00
loop_
_symmetry_equiv_pos_as_xyz
'x,y,z'
'-x,-y,-z'
'-x,y,-z'
'x,-y,z'
'x+1/2,y+1/2,z'
'-x+1/2,-y+1/2,-z'
'-x+1/2,y+1/2,-z'
'x+1/2,-y+1/2,z'
loop_
_atom_site_label
_atom_site_fract_x
_atom_site_fract_y
_atom_site_fract_z
_atom_site_occupancy
Ce1 0.067 0.000 0.295 1
Ce2 0.106 0.265 0.783 1
Ce3 0.149 0.500 0.308 1
Pu1 0.000 0.500 0.500 1
Os1 0.221 0.000 0.087 1
# Distance to the lowest polymorph of the same formula = 20 meV/atom
# Formation energy = -13 meV/atom



# GGA-PBE LaDyCdPb, optimized geometry
data_LaDyCdPb
_symmetry_space_group_name_H-M 'F -4 3 m'
_symmetry_Int_Tables_number 216
_symmetry_space_group_name_Hall 'F -4 2 3'
_cell_length_a 7.748
_cell_length_b 7.748
_cell_length_c 7.748
_cell_angle_alpha 90.00
_cell_angle_beta 90.00
_cell_angle_gamma 90.00
loop_
_atom_site_label
_atom_site_fract_x
_atom_site_fract_y
_atom_site_fract_z
_atom_site_occupancy
La1 0.000 0.000 0.000 1
Dy1 0.000 0.000 0.500 1
Cd1 0.250 0.250 0.750 1
Pb1 0.250 0.250 0.250 1
# Formation energy = -427 meV/atom



# GGA-PBE Ba5Cu2S6, optimized geometry
data_Ba5Cu2S6
_symmetry_space_group_name_H-M 'P b a m'
_symmetry_Int_Tables_number 55
_cell_length_a 12.547
_cell_length_b 14.643
_cell_length_c 4.163
_cell_angle_alpha 90.00
_cell_angle_beta 90.00
_cell_angle_gamma 90.00
loop_
_symmetry_equiv_pos_as_xyz
'x,y,z'
'-x,-y,-z'
'-x,-y,z'
'x,y,-z'
'x+1/2,-y+1/2,-z'
'-x+1/2,y+1/2,z'
'-x+1/2,y+1/2,-z'
'x+1/2,-y+1/2,z'
loop_
_atom_site_label
_atom_site_fract_x
_atom_site_fract_y
_atom_site_fract_z
_atom_site_occupancy
Ba1 0.000 0.000 0.000 1
Ba2 0.139 0.448 0.000 1
Ba3 0.150 0.745 0.000 1
Cu1 0.067 0.261 0.500 1
S1 0.051 0.612 0.500 1
S2 0.106 0.207 0.000 1
S3 0.171 0.914 0.500 1
# Formation energy from raw total energies = -1.552 eV/atom



# GGA-PBE YGaFe2Se, optimized geometry
data_YGaFe2Se
_symmetry_space_group_name_H-M 'P 4/m m m'
_symmetry_Int_Tables_number 123
_symmetry_space_group_name_Hall '-P 4 2'
_cell_length_a 4.820
_cell_length_b 4.820
_cell_length_c 5.496
_cell_angle_alpha 90.00
_cell_angle_beta 90.00
_cell_angle_gamma 90.00
loop_
_atom_site_label
_atom_site_fract_x
_atom_site_fract_y
_atom_site_fract_z
_atom_site_occupancy
Y1 0.000 0.000 0.000 1
Ga1 0.000 0.000 0.500 1
Fe1 0.000 0.500 0.000 1
Se1 0.500 0.500 0.500 1
# Formation energy from raw total energies = 1.397 eV/atom



Please write out number 4 again, unchanged.
# GGA-PBE Sr2MgTl9, optimized geometry
data_Sr2MgTl9
_symmetry_space_group_name_H-M 'P 4/m m m'
_symmetry_Int_Tables_number 123
_symmetry_space_group_name_Hall '-P 4 2'
_cell_length_a 4.964
_cell_length_b 4.964
_cell_length_c 14.587
_cell_angle_alpha 90.00
_cell_angle_beta 90.00
_cell_angle_gamma 90.00
loop_
_atom_site_label
_atom_site_fract_x
_atom_site_fract_y
_atom_site_fract_z
_atom_site_occupancy
Sr1 0.000 0.000 0.176 1
Mg1 0.000 0.000 0.500 1
Tl1 0.000 0.500 0.000 1
Tl2 0.000 0.500 0.348 1
Tl3 0.500 0.500 0.159 1
Tl4 0.500 0.500 0.500 1
# Formation energy = -164 meV/atom